Entry 1:
First-principles (GGA-PBE) data for crystalline CuAgF3 at its relaxed geometry, as listed in Alexandria.

```
data_CuAgF3
_cell_length_a 4.391
_cell_length_b 4.391
_cell_length_c 8.513
_cell_angle_alpha 75.05
_cell_angle_beta 75.05
_cell_angle_gamma 90.00
_space_group_name_H-M_alt 'P 1'
_space_group_IT_number 1
loop_
_space_group_symop_operation_xyz
'x,y,z'
loop_
_atom_site_label
_atom_site_fract_x
_atom_site_fract_y
_atom_site_fract_z
Cu1 0.662 0.162 0.676
Cu2 0.838 0.338 0.324
Ag1 0.000 0.000 0.000
Ag2 0.250 0.750 0.500
F1 0.126 0.879 0.242
F2 0.121 0.874 0.758
F3 0.121 0.368 0.758
F4 0.632 0.879 0.242
F5 0.311 0.311 0.378
F6 0.689 0.689 0.622
```

Properties
ΔE_f (raw): -335 kJ/mol of formula units
N(E_F): 0.716 states/eV/atom


Entry 2:
First-principles (GGA-PBE) data for crystalline SiNiCl2 at its relaxed geometry, as listed in Alexandria.

```
data_SiNiCl2
_cell_length_a 3.105
_cell_length_b 3.101
_cell_length_c 8.421
_cell_angle_alpha 79.89
_cell_angle_beta 90.00
_cell_angle_gamma 90.00
_space_group_name_H-M_alt 'P 1'
_space_group_IT_number 1
loop_
_space_group_symop_operation_xyz
'x,y,z'
loop_
_atom_site_label
_atom_site_fract_x
_atom_site_fract_y
_atom_site_fract_z
Cl1 0.000 0.869 0.900
Cl2 0.500 0.141 0.328
Ni1 0.000 0.465 0.699
Si1 0.500 0.025 0.573
```

Properties
ΔE_f (raw): -175 kJ/mol of formula units
N(E_F): 0.522 states/eV/atom